# 1
Mg2TaCu2 | GGA-PBE | optimized geometry

Cell: 7.4593 7.4593 2.8819 Å, 90.00 90.00 90.00°
Fractional positions:
1 Cu 0.1313 0.3687 0.0000
2 Cu 0.8687 0.6313 0.0000
3 Mg 0.8342 0.3342 0.5000
4 Cu 0.3687 0.8687 0.0000
5 Mg 0.6658 0.8342 0.5000
6 Mg 0.3342 0.1658 0.5000
7 Ta 0.0000 0.0000 0.0000
8 Cu 0.6313 0.1313 0.0000
9 Ta 0.5000 0.5000 0.0000
10 Mg 0.1658 0.6658 0.5000

Properties
E in eV/cell: -44.467
Fermi-level density of states in states/eV/f.u.: 3.68
Symmetry: No. 127
Theoretical density in Mg/m³: 7.39
Size of the total moment in μB/cell: 0.00

---

# 2
Ca3Er2Sn3S12 | GGA-PBE | optimized geometry

Cell: 11.5583 11.5583 3.8946 Å, 90.00 90.00 120.27°
Fractional positions:
1 S 0.8160 0.5642 0.5000
2 S 0.9941 0.1745 0.0000
3 S 0.4528 0.2518 0.5000
4 S 0.8314 0.8314 0.0000
5 S 0.2518 0.4528 0.5000
6 Ca 0.6670 0.3343 0.0000
7 Ca 0.2864 0.2864 0.0000
8 S 0.4666 0.9796 0.0000
9 S 0.7423 0.1834 0.5000
10 S 0.1745 0.9941 0.0000
11 S 0.5642 0.8160 0.5000
12 Sn 0.6754 0.6754 0.5000
13 Er 0.0022 0.7170 0.0000
14 Sn 0.0004 0.3299 0.5000
15 Er 0.7170 0.0022 0.0000
16 Ca 0.3343 0.6670 0.0000
17 S 0.9796 0.4666 0.0000
18 S 0.1834 0.7423 0.5000
19 S 0.5307 0.5307 0.0000
20 Sn 0.3299 0.0004 0.5000

Properties
Symmetry: No. 38
Theoretical density in Mg/m³: 4.42
Size of the total moment in μB/cell: 0.00
E_form (uncorrected) in kJ/mol of atoms: -127.19

---

# 3
TaNbHg2B | GGA-PBE | optimized geometry

Cell: 4.4703 4.4606 4.4703 Å, 90.00 90.00 90.00°
Fractional positions:
1 Hg 0.0000 0.0000 0.5000
2 Ta 0.0000 0.5000 0.0000
3 B 0.0000 0.0000 0.0000
4 Nb 0.5000 0.5000 0.5000
5 Hg 0.5000 0.0000 0.0000

Properties
E in eV/cell: -25.299
Fermi-level density of states in states/eV/f.u.: 3.32
Symmetry: No. 123
Theoretical density in Mg/m³: 12.78
Size of the total moment in μB/cell: 0.00

---

# 4
Pr5Sm4Cd4 | GGA-PBE | optimized geometry

Cell: 5.3175 9.1921 9.1921 Å, 85.20 73.19 73.19°
Fractional positions:
1 Pr 0.3925 0.2924 0.9227
2 Cd 0.7624 0.3408 0.1344
3 Sm 0.6091 0.2946 0.4872
4 Cd 0.2376 0.6592 0.8656
5 Pr 0.0000 0.0000 0.0000
6 Sm 0.9037 0.4872 0.7054
7 Cd 0.1032 0.1344 0.6592
8 Sm 0.0963 0.5128 0.2946
9 Pr 0.3152 0.0773 0.2924
10 Pr 0.6848 0.9227 0.7076
11 Cd 0.8968 0.8656 0.3408
12 Pr 0.6075 0.7076 0.0773
13 Sm 0.3909 0.7054 0.5128

Properties
E in eV/cell: -48.691
Fermi-level density of states in states/eV/f.u.: 13.12
Symmetry: No. 87
Theoretical density in Mg/m³: 7.08
Size of the total moment in μB/cell: 0.00

---

# 5
Na3Pu2PdSe6 | GGA-PBE | optimized geometry

Cell: 7.0112 7.0112 7.3816 Å, 98.74 98.74 120.39°
Each line ends with the local moment (μB).
Fractional positions:
1 Se 0.2379 0.2379 0.7859  -0.08
2 Na 0.8345 0.1655 0.5000  0.00
3 Pu 0.3316 0.6684 0.0000  4.91
4 Se 0.0784 0.4051 0.2305  -0.13
5 Pd 0.0000 0.0000 0.0000  -0.05
6 Se 0.4051 0.0784 0.2305  -0.13
7 Se 0.7621 0.7621 0.2141  -0.08
8 Se 0.9216 0.5949 0.7695  -0.13
9 Na 0.1655 0.8345 0.5000  0.00
10 Se 0.5949 0.9216 0.7695  -0.13
11 Na 0.5000 0.5000 0.5000  0.00
12 Pu 0.6684 0.3316 0.0000  4.91

Properties
Fermi-level density of states in states/eV/f.u.: 19.69
Symmetry: No. 12
Theoretical density in Mg/m³: 6.34
Size of the total moment in μB/cell: 9.04
E_form (uncorrected) in kJ/mol of atoms: -105.26

---

# 6
CePuSe2 | GGA-PBE | optimized geometry

Cell: 4.0431 4.0431 7.7574 Å, 74.89 74.89 60.00°
Each line ends with the local moment (μB).
Fractional positions:
1 Se 0.2532 0.2532 0.2403  -0.04
2 Ce 0.4967 0.4967 0.5099  -0.88
3 Se 0.0801 0.0801 0.7598  -0.04
4 Pu 0.6700 0.6700 0.9901  5.42

Properties
Fermi-level density of states in states/eV/f.u.: 12.59
Symmetry: No. 160
Theoretical density in Mg/m³: 8.59
Size of the total moment in μB/cell: 4.50
E_form (uncorrected) in kJ/mol of atoms: -151.21

---

# 7
SbMo2Br | GGA-PBE | optimized geometry

Cell: 4.1818 3.3979 6.9982 Å, 89.31 90.00 90.00°
Fractional positions:
1 Mo 0.5000 0.3689 0.1360
2 Mo 0.0000 0.8847 0.1032
3 Sb 0.0000 0.3783 0.4114
4 Br 0.5000 0.8681 0.8494

Properties
Fermi-level density of states in states/eV/f.u.: 2.87
Symmetry: No. 6
Theoretical density in Mg/m³: 6.57
Size of the total moment in μB/cell: 0.00
E_form (uncorrected) in kJ/mol of atoms: 26.28

---

# 8
TaSi | GGA-PBE | optimized geometry

Cell: 5.0769 5.0769 5.0769 Å, 135.91 135.91 64.11°
Fractional positions:
1 Ta 0.7500 0.2500 0.5000
2 Ta 0.5000 0.5000 0.0000
3 Si 0.2500 0.7500 0.5000
4 Si 0.0000 0.0000 0.0000

Properties
Fermi-level density of states in states/eV/f.u.: 1.97
Symmetry: No. 141
Theoretical density in Mg/m³: 11.11
Size of the total moment in μB/cell: 0.00
E_form (uncorrected) in kJ/mol of atoms: -16.75